Entry from Alexandria via LeMat-Bulk: Pm3Be2B9 after structural relaxation (PBE).

Output
As for the total energy: -83.7 eV for the cell shown.

```
14
Lattice="3.1685 0.0000 0.0000 1.5842 7.8285 1.8636 1.5842 3.5896 7.2023" Properties=species:S:1:pos:R:3 pbc="T T T"
Pm 0.0000 0.0000 0.0000
Pm 3.1685 2.7052 2.1479
Pm 3.1685 8.7130 6.9181
Be 3.1685 5.0476 5.3661
Be 3.1685 6.3706 3.6998
B 1.5842 5.7091 4.5330
B 3.1685 3.1824 4.8398
B 3.1685 8.2358 4.2262
B 3.1685 5.4352 2.0025
B 3.1685 5.9830 7.0635
B 4.7527 7.6149 4.6854
B 1.5842 3.8033 4.3806
B 4.7527 6.2895 6.3547
B 1.5842 5.1287 2.7113
```